Computed, not measured: a relaxed structure of CeIn2 at the PBE level of DFT.

Calculated values
Size of the total moment ... 0.4292 μB per atom
Energy of formation ... -0.99 eV per formula unit
Crystal system ... cubic
Electronic total energy ... -99.186 eV for the cell shown

Cell lengths 8.5951, 8.5951, 8.5951 Å; angles 90.00, 90.00, 90.00 degrees
Closest atoms and distances in Å follow each position.
Space group Fd-3m (No. 227, origin choice 2)
Inequivalent atoms, fractional coordinates:
Ce 0.1250 0.1250 0.1250 [8 per cell]  12 In 3.56, 4 Ce 3.72
In 0.0000 0.0000 0.5000 [16 per cell]  6 In 3.04


Computed, not measured: a relaxed structure of Ni5Au2N at the PBE level of DFT.

Calculated values
Raw formation energy ... 1.6 eV per formula unit
Size of the total moment ... 0.0565 μB per atom
Crystal system ... tetragonal
Electronic total energy ... -42.195 eV for the cell shown

Cell lengths 5.1559, 5.1559, 3.9139 Å; angles 90.00, 90.00, 90.00 degrees
Closest atoms and distances in Å follow each position.
Space group P4/mmm (No. 123)
Inequivalent atoms, fractional coordinates:
Ni 0.0000 0.0000 0.0000 [1 per cell]  2 N 1.96
Ni 0.2572 0.2572 0.5000 [4 per cell]  1 N 1.88
Au 0.0000 0.5000 0.0000 [2 per cell]  10 Ni 2.58-2.67
N 0.0000 0.0000 0.5000 [1 per cell]  6 Ni 1.88-1.96


Computed, not measured: a relaxed structure of Li3GeSb at the PBE level of DFT.

Calculated values
Raw formation energy ... 0.3 eV per formula unit
Size of the total moment ... 0.0000 μB per atom
Crystal system ... cubic
Electronic total energy ... -14.169 eV for the cell shown

Cell lengths 4.7404, 4.7404, 4.7404 Å; angles 90.00, 90.00, 90.00 degrees
Closest atoms and distances in Å follow each position.
Space group Pm-3m (No. 221)
Inequivalent atoms, fractional coordinates:
Li 0.0000 0.0000 0.5000 [3 per cell]  2 Ge 2.37
Ge 0.0000 0.0000 0.0000 [1 per cell]  6 Li 2.37
Sb 0.5000 0.5000 0.5000 [1 per cell]  12 Li 3.35


Computed, not measured: a relaxed structure of La2Sb at the PBE level of DFT.

Calculated values
Raw formation energy ... -2.4 eV per formula unit
Size of the total moment ... 0.0885 μB per atom
Crystal system ... orthorhombic
Electronic total energy ... -65.658 eV for the cell shown

Cell lengths 4.3729, 6.6451, 14.3333 Å; angles 90.00, 90.00, 90.00 degrees
Closest atoms and distances in Å follow each position.
Space group Immm (No. 71)
Inequivalent atoms, fractional coordinates:
La 0.0000 0.0000 0.1924 [4 per cell]  4 Sb 3.23-3.40
La 0.0000 0.2328 0.5000 [4 per cell]  1 La 3.09, 4 Sb 3.36
Sb 0.0000 0.5000 0.1421 [4 per cell]  8 La 3.23-3.40


Computed, not measured: a relaxed structure of MnPCSeN at the PBE level of DFT.

Calculated values
Raw formation energy ... 1.3 eV per formula unit
Size of the total moment ... 0.0706 μB per atom
Crystal system ... triclinic
Electronic total energy ... -34.264 eV for the cell shown

Cell lengths 2.7499, 4.0139, 7.3127 Å; angles 99.34, 95.87, 110.01 degrees
Closest atoms and distances in Å follow each position.
Space group P1 (No. 1)
Inequivalent atoms, fractional coordinates:
Mn 0.0000 0.0000 0.0000 [1 per cell]  2 C 1.86
P 0.3333 0.5844 0.1513 [1 per cell]  2 N 1.68
C 0.5569 0.1822 0.8747 [1 per cell]  2 Mn 1.86, 1 Se 1.89
Se 0.6693 0.4985 0.7056 [1 per cell]  1 C 1.89
N 0.9680 0.7998 0.2510 [1 per cell]  2 P 1.68


Computed, not measured: a relaxed structure of CsSr2In2Br7 at the PBE level of DFT.

Calculated values
Raw formation energy ... -18.6 eV per formula unit
Size of the total moment ... 0.0000 μB per atom
Crystal system ... orthorhombic
Electronic total energy ... -80.101 eV for the cell shown

Cell lengths 6.2664, 25.8187, 6.2952 Å; angles 90.00, 90.00, 90.00 degrees
Closest atoms and distances in Å follow each position.
Space group Imm2 (No. 44)
Inequivalent atoms, fractional coordinates:
Cs 0.0000 0.0000 0.0000 [2 per cell]  8 Br 3.92-4.37
Sr 0.0000 0.3852 0.0758 [4 per cell]  6 Br 2.98-3.17
In 0.0000 0.2521 0.5800 [4 per cell]  5 Br 3.17-3.40
Br 0.0000 0.1141 0.5837 [4 per cell]  2 Sr 3.13
Br 0.0000 0.2675 0.0796 [4 per cell]  1 Sr 3.04, 4 In 3.17-3.18
Br 0.0000 0.3839 0.5799 [4 per cell]  2 Sr 3.12-3.17, 1 In 3.40
Br 0.0000 0.5000 0.1251 [2 per cell]  2 Sr 2.98


- electronic total energy of number 3 (Li3GeSb)?
  -14.169 eV for the cell shown